[1]
The following is a PBE-GGA calculation of a relaxed BaGe3Ru crystal, from the Alexandria database.

Geometry as POSCAR:
```
BaGe3Ru
1.0
4.925 0.000 0.000
0.000 4.925 0.000
0.000 0.000 4.925
Ba Ge Ru
1 3 1
Direct
0.000 0.000 0.000
0.000 0.500 0.500
0.500 0.000 0.500
0.500 0.500 0.000
0.500 0.500 0.500
```

Results
The formation energy comes out at -0.068 eV per atom.

=====

[2]
The following is a PBE-GGA calculation of a relaxed BaGeRu3 crystal, from the Alexandria database.

Geometry as POSCAR:
```
BaGeRu3
1.0
4.735 0.000 0.000
0.000 4.735 0.000
0.000 0.000 4.735
Ba Ge Ru
1 1 3
Direct
0.000 0.000 0.000
0.500 0.500 0.500
0.000 0.500 0.500
0.500 0.000 0.500
0.500 0.500 0.000
```

Results
The value obtained for the energy above the most stable polymorph in this dataset is 0.0 kJ per mole of atoms. The formation energy comes out at 0.709 eV per atom.

=====

[3]
The following is a PBE-GGA calculation of a relaxed BaGe2Ru2 crystal, from the Alexandria database.

Geometry as POSCAR:
```
BaGe2Ru2
1.0
0.000 5.324 6.400
3.240 0.000 6.400
3.240 5.324 0.000
Ba Ge Ru
2 4 4
Direct
0.125 0.125 0.125
0.875 0.875 0.875
0.198 0.552 0.198
0.448 0.802 0.448
0.552 0.198 0.552
0.802 0.448 0.802
0.252 0.252 0.498
0.498 0.498 0.252
0.502 0.502 0.748
0.748 0.748 0.502
```

Results
The formation energy comes out at -0.471 eV per atom.

=====

[4]
The following is a PBE-GGA calculation of a relaxed BaGe2Ru crystal, from the Alexandria database.

Geometry as POSCAR:
```
BaGe2Ru
1.0
2.125 1.227 6.031
-2.125 1.227 6.031
0.000 -2.453 6.031
Ba Ge Ru
1 2 1
Direct
0.000 0.000 0.000
0.207 0.207 0.207
0.793 0.793 0.793
0.500 0.500 0.500
```

Results
The formation energy comes out at -0.352 eV per atom.

=====

[5]
The following is a PBE-GGA calculation of a relaxed BaSn2GeRu2 crystal, from the Alexandria database.

Geometry as POSCAR:
```
BaSn2GeRu2
1.0
4.734 0.000 0.000
0.000 4.734 0.000
0.000 0.000 6.391
Ba Sn Ge Ru
1 2 1 2
Direct
0.000 0.000 0.000
0.500 0.500 0.253
0.500 0.500 0.747
0.000 0.000 0.500
0.000 0.500 0.500
0.500 0.000 0.500
```

Results
The formation energy comes out at -0.221 eV per atom.

=====

[6]
The following is a PBE-GGA calculation of a relaxed BaZnGeRu2 crystal, from the Alexandria database.

Geometry as POSCAR:
```
BaZnGeRu2
1.0
4.854 0.000 0.000
0.000 4.854 0.000
0.000 0.000 4.682
Ba Zn Ge Ru
1 1 1 2
Direct
0.000 0.000 0.000
0.500 0.500 0.500
0.500 0.500 0.000
0.000 0.500 0.500
0.500 0.000 0.500
```

Results
The formation energy comes out at 0.808 eV per atom.

=====

[7]
The following is a PBE-GGA calculation of a relaxed BaZrGeRu2 crystal, from the Alexandria database.

Geometry as POSCAR:
```
BaZrGeRu2
1.0
4.887 0.000 0.000
0.000 4.887 0.000
0.000 0.000 5.909
Ba Zr Ge Ru
1 1 1 2
Direct
0.000 0.000 0.000
0.000 0.000 0.500
0.500 0.500 0.000
0.000 0.500 0.500
0.500 0.000 0.500
```

Results
The formation energy comes out at 1.236 eV per atom.